Here is a relaxed Ba2BeW crystal from Alexandria via LeMat-Bulk. Energies are from PBE.

The calculation puts the electronic total energy at -4.38 eV per atom. The calculation puts the volume at 28.58 A^3/atom. The formation energy comes out at 747.6 meV/atom.

```
data_Ba2BeW
_space_group_name_H-M_alt 'P 4 m m'
_space_group_IT_number 99
_cell_length_a 3.458
_cell_length_b 3.458
_cell_length_c 9.564
_cell_angle_alpha 90.00
_cell_angle_beta 90.00
_cell_angle_gamma 90.00
loop_
_space_group_symop_operation_xyz
'x,y,z'
'-y,x,z'
'-x,-y,z'
'y,-x,z'
'-x,y,z'
'y,x,z'
'x,-y,z'
'-y,-x,z'
loop_
_atom_site_label
_atom_site_fract_x
_atom_site_fract_y
_atom_site_fract_z
Ba1 0.000 0.000 0.000
Ba2 0.500 0.500 0.424
Be1 0.000 0.000 0.691
W1 0.500 0.500 0.736
```